A plane-wave DFT calculation with PBE was carried out for a relaxed structure of RbU3TiTe9.

Calculated volume = 31.82 Å³ per atom
Space group = P2_1/m (11)
Total energy = -5.81 eV/atom

Unit cell a=8.358 b=6.164 c=17.417 alpha=90.00 beta=96.84 gamma=90.00
Sites, in units of the cell vectors:
Rb 0.033 0.250 0.131
Rb 0.967 0.750 0.869
U 0.100 0.750 0.404
U 0.397 0.250 0.592
U 0.453 0.250 0.811
U 0.547 0.750 0.189
U 0.603 0.750 0.408
U 0.900 0.250 0.596
Ti 0.500 0.000 0.000
Ti 0.500 0.500 0.000
Te 0.112 0.250 0.461
Te 0.180 0.001 0.700
Te 0.180 0.499 0.700
Te 0.234 0.250 0.938
Te 0.265 0.750 0.062
Te 0.331 0.501 0.301
Te 0.331 0.999 0.301
Te 0.380 0.750 0.536
Te 0.466 0.750 0.863
Te 0.534 0.250 0.137
Te 0.620 0.250 0.464
Te 0.669 0.001 0.699
Te 0.669 0.499 0.699
Te 0.735 0.250 0.938
Te 0.766 0.750 0.062
Te 0.820 0.501 0.300
Te 0.820 0.999 0.300
Te 0.888 0.750 0.539

***

A plane-wave DFT calculation with PBE was carried out for a relaxed structure of Rb3Y3TiTe8.

Calculated volume = 38.82 Å³ per atom
Space group = R-3m (166)
Total energy = -4.90 eV/atom

Unit cell a=10.136 b=10.136 c=10.136 alpha=51.13 beta=51.13 gamma=51.13
Sites, in units of the cell vectors:
Rb 0.000 0.500 0.500
Rb 0.500 0.000 0.500
Rb 0.500 0.500 0.000
Y 0.000 0.000 0.500
Y 0.000 0.500 0.000
Y 0.500 0.000 0.000
Ti 0.500 0.500 0.500
Te 0.234 0.234 0.234
Te 0.253 0.718 0.718
Te 0.282 0.282 0.747
Te 0.282 0.747 0.282
Te 0.718 0.253 0.718
Te 0.718 0.718 0.253
Te 0.747 0.282 0.282
Te 0.766 0.766 0.766

***

A plane-wave DFT calculation with PBE was carried out for a relaxed structure of RbTl2Te2.

Calculated volume = 40.09 Å³ per atom
Space group = I4/mmm (139)
Total energy = -2.86 eV/atom
Distance to the lowest polymorph of the same formula = 4.8 meV/atom

Unit cell a=5.103 b=5.103 c=15.394 alpha=90.00 beta=90.00 gamma=90.00
Sites, in units of the cell vectors:
Rb 0.000 0.000 0.000
Rb 0.500 0.500 0.500
Tl 0.000 0.500 0.250
Tl 0.000 0.500 0.750
Tl 0.500 0.000 0.250
Tl 0.500 0.000 0.750
Te 0.000 0.000 0.394
Te 0.000 0.000 0.606
Te 0.500 0.500 0.106
Te 0.500 0.500 0.894